CeTl2Hg: optimized geometry, PBE.

abc: 4.8059 4.8059 4.7465
angles: 90.00 90.00 90.00
Last column: nearest neighbours and their distance in Å.
Element x y z (fractional)
Ce (0.0000, 0.0000, 0.0000)  8 Tl 3.38, 4 Hg 3.40
Tl (0.0000, 0.5000, 0.5000)  4 Hg 3.38, 4 Ce 3.38, 4 Tl 3.40
Tl (0.5000, 0.0000, 0.5000)  4 Hg 3.38, 4 Ce 3.38, 4 Tl 3.40
Hg (0.5000, 0.5000, 0.0000)  8 Tl 3.38, 4 Ce 3.40

Formation energy from the elements = -0.2371 eV per atom
Total moment = 0.275 μB per atom
Space group = P4/mmm
Energy relative to the lowest polymorph listed for this composition = 0 meV per atom
DOS at the Fermi energy = 8.376 states/eV/cell
Crystal system = tetragonal


CeTlHg3: optimized geometry, PBE.

abc: 5.3391 5.6934 9.2277
angles: 90.00 106.21 90.00
Last column: nearest neighbours and their distance in Å.
Element x y z (fractional)
Ce (0.1428, 0.2500, 0.2748)  7 Hg 3.24-3.51, 1 Tl 3.54
Ce (0.8572, 0.7500, 0.7252)  7 Hg 3.24-3.51, 1 Tl 3.54
Tl (0.3364, 0.2500, 0.6743)  8 Hg 3.11-3.36
Tl (0.6636, 0.7500, 0.3257)  8 Hg 3.11-3.36
Hg (0.0493, 0.7500, 0.0997)  6 Hg 3.15-3.35, 3 Ce 3.24-3.32, 2 Tl 3.32-3.36
Hg (0.2511, 0.7500, 0.5059)  4 Tl 3.11-3.21, 2 Ce 3.30
Hg (0.5000, 0.0000, 0.0000)  6 Hg 2.85-3.16
Hg (0.5000, 0.5000, 0.0000)  6 Hg 2.85-3.16
Hg (0.7489, 0.2500, 0.4941)  4 Tl 3.11-3.21, 2 Ce 3.30
Hg (0.9507, 0.2500, 0.9003)  6 Hg 3.15-3.35, 3 Ce 3.24-3.32, 2 Tl 3.32-3.36

Formation energy from the elements = -0.1288 eV per atom
Total moment = 0.237 μB per atom
Space group = P2_1/m
Energy relative to the lowest polymorph listed for this composition = 28 meV per atom
DOS at the Fermi energy = 17.693 states/eV/cell
Crystal system = monoclinic


Ce2TlHg: optimized geometry, PBE.

abc: 3.4247 3.4247 9.3218
angles: 90.00 90.00 90.00
Last column: nearest neighbours and their distance in Å.
Element x y z (fractional)
Ce (0.0000, 0.0000, 0.2429)  4 Hg 3.32, 4 Tl 3.41, 4 Ce 3.42
Ce (0.0000, 0.0000, 0.7571)  4 Hg 3.32, 4 Tl 3.41, 4 Ce 3.42
Tl (0.5000, 0.5000, 0.5000)  8 Ce 3.41, 4 Tl 3.42
Hg (0.5000, 0.5000, 0.0000)  8 Ce 3.32, 4 Hg 3.42

Formation energy from the elements = -0.2687 eV per atom
Total moment = 0.592 μB per atom
Space group = P4/mmm
DOS at the Fermi energy = 12.579 states/eV/cell
Crystal system = tetragonal


Ce3Tl4Hg2: optimized geometry, PBE.

abc: 8.9690 8.9690 3.6114
angles: 90.00 90.00 120.00
Last column: nearest neighbours and their distance in Å.
Element x y z (fractional)
Ce (0.0000, 0.6285, 0.0000)  7 Tl 3.33-3.56, 4 Hg 3.36, 2 Ce 3.61
Ce (0.3715, 0.3715, 0.0000)  7 Tl 3.33-3.56, 4 Hg 3.36, 2 Ce 3.61
Ce (0.6285, 0.0000, 0.0000)  7 Tl 3.33-3.56, 4 Hg 3.36, 2 Ce 3.61
Tl (0.0000, 0.0000, 0.0000)  8 Tl 3.24-3.61, 3 Ce 3.33
Tl (0.0000, 0.3003, 0.5000)  2 Hg 3.15, 2 Tl 3.24, 2 Ce 3.45
Tl (0.3003, 0.0000, 0.5000)  2 Hg 3.15, 2 Tl 3.24, 2 Ce 3.45
Tl (0.6997, 0.6997, 0.5000)  2 Hg 3.15, 2 Tl 3.24, 2 Ce 3.45
Hg (0.3333, 0.6667, 0.5000)  3 Tl 3.15, 6 Ce 3.36
Hg (0.6667, 0.3333, 0.5000)  3 Tl 3.15, 6 Ce 3.36

Formation energy from the elements = -0.1921 eV per atom
Total moment = 0.470 μB per atom
Space group = P-62m
DOS at the Fermi energy = 23.001 states/eV/cell
Crystal system = hexagonal